Entry 1:
Entry from the Alexandria database: a relaxed structure of Zn2TcAg (PBE).

Computed properties:
Symmetry ... P4mm, No. 99
VASP energy ... -3.740 eV/atom
Energy relative to the elements ... 201.5 meV/atom

Cell lengths 2.6864, 2.6864, 8.4394 Å; angles 90.00, 90.00, 90.00 degrees
Fractional positions:
Zn 0.0000 0.0000 0.0000
Zn 0.5000 0.5000 0.2409
Tc 0.5000 0.5000 0.7628
Ag 0.0000 0.0000 0.4942

***

Entry 2:
Entry from the Alexandria database: a relaxed structure of Gd2AgIr (PBE).

Computed properties:
Symmetry ... Fm-3m, No. 225
VASP energy ... -10.512 eV/atom
Energy relative to the elements ... -544.0 meV/atom

Cell lengths 5.0235, 5.0235, 5.0235 Å; angles 60.00, 60.00, 60.00 degrees
Fractional positions:
Gd 0.2500 0.2500 0.2500
Gd 0.7500 0.7500 0.7500
Ag 0.0000 0.0000 0.0000
Ir 0.5000 0.5000 0.5000

***

Entry 3:
Entry from the Alexandria database: a relaxed structure of YMg2Cd (PBE).

Computed properties:
Symmetry ... C2/m, No. 12
VASP energy ... -2.694 eV/atom
Energy relative to the elements ... -51.9 meV/atom

Cell lengths 6.3493, 6.3493, 3.1453 Å; angles 101.85, 101.85, 119.91 degrees
Fractional positions:
Y 0.0000 0.0000 0.0000
Mg 0.0000 0.5000 0.5000
Mg 0.5000 0.0000 0.5000
Cd 0.5000 0.5000 0.0000

***

Entry 4:
Entry from the Alexandria database: a relaxed structure of Tb12Dy7Mg (PBE).

Computed properties:
Symmetry ... R-3, No. 148
VASP energy ... -4.256 eV/atom
Energy relative to the elements ... 212.7 meV/atom

Cell lengths 8.6711, 8.6711, 8.6711 Å; angles 86.96, 86.96, 86.96 degrees
Fractional positions:
Tb 0.0022 0.3623 0.8838
Tb 0.1162 0.9978 0.6377
Tb 0.2381 0.7515 0.3567
Tb 0.2485 0.6433 0.7619
Tb 0.3567 0.2381 0.7515
Tb 0.3623 0.8838 0.0022
Tb 0.6377 0.1162 0.9978
Tb 0.6433 0.7619 0.2485
Tb 0.7515 0.3567 0.2381
Tb 0.7619 0.2485 0.6433
Tb 0.8838 0.0022 0.3623
Tb 0.9978 0.6377 0.1162
Dy 0.0000 0.0000 0.0000
Dy 0.1050 0.3503 0.4280
Dy 0.3503 0.4280 0.1050
Dy 0.4280 0.1050 0.3503
Dy 0.5720 0.8950 0.6497
Dy 0.6497 0.5720 0.8950
Dy 0.8950 0.6497 0.5720
Mg 0.5000 0.5000 0.5000

***

Entry 5:
Entry from the Alexandria database: a relaxed structure of Th2Al4IrAu3 (PBE).

Computed properties:
Symmetry ... P-4m2, No. 115
VASP energy ... -5.578 eV/atom
Energy relative to the elements ... -727.8 meV/atom

Cell lengths 4.3884, 4.3884, 10.3763 Å; angles 90.00, 90.00, 90.00 degrees
Fractional positions:
Th 0.0000 0.5000 0.2376
Th 0.5000 0.0000 0.7624
Al 0.0000 0.0000 0.5000
Al 0.0000 0.5000 0.8745
Al 0.5000 0.0000 0.1255
Al 0.5000 0.5000 0.5000
Ir 0.5000 0.5000 0.0000
Au 0.0000 0.0000 0.0000
Au 0.0000 0.5000 0.6325
Au 0.5000 0.0000 0.3675

***

Entry 6:
Entry from the Alexandria database: a relaxed structure of SrMn3Ge (PBE).

Computed properties:
Symmetry ... Pm-3m, No. 221
VASP energy ... -4.712 eV/atom
Energy relative to the elements ... 2049.6 meV/atom

Cell lengths 5.3445, 5.3445, 5.3445 Å; angles 90.00, 90.00, 90.00 degrees
Fractional positions:
Sr 0.0000 0.0000 0.0000
Mn 0.0000 0.0000 0.5000
Mn 0.0000 0.5000 0.0000
Mn 0.5000 0.0000 0.0000
Ge 0.5000 0.5000 0.5000